[1]
Pu3Bi12Pb5 | Alexandria | PBE | optimized geometry; calculated total energy = -5.30 eV per atom; E_form = 109 meV/atom
1.0
16.0793 0.0000 0.0000
-5.3598 15.1597 0.0000
-5.3598 -7.5798 13.1287
Pb Bi Pu
20 48 12
Direct
0.0000 0.5000 0.0000
0.0000 0.0000 0.0000
0.3750 0.1250 0.7500
0.2500 0.3750 0.6250
0.0000 0.5000 0.5000
0.2500 0.8750 0.1250
0.1250 0.3750 0.2500
0.5000 0.0000 0.0000
0.1250 0.7500 0.3750
0.6250 0.8750 0.2500
0.7500 0.1250 0.8750
0.5000 0.0000 0.5000
0.0000 0.0000 0.5000
0.3750 0.2500 0.1250
0.7500 0.6250 0.3750
0.5000 0.5000 0.0000
0.5000 0.5000 0.5000
0.8750 0.6250 0.7500
0.8750 0.2500 0.6250
0.6250 0.7500 0.8750
0.1684 0.0913 0.7383
0.0770 0.9087 0.1470
0.0699 0.4230 0.8316
0.6470 0.0699 0.2383
0.3530 0.4230 0.0913
0.2383 0.6684 0.0913
0.4230 0.0699 0.3316
0.1470 0.4087 0.0770
0.5699 0.3316 0.9230
0.4230 0.3530 0.5913
0.5770 0.9301 0.6684
0.4087 0.1470 0.5770
0.3316 0.7617 0.4087
0.2617 0.8530 0.9301
0.9087 0.8316 0.7617
0.2617 0.4087 0.8316
0.8316 0.9230 0.0699
0.5913 0.8530 0.4230
0.1470 0.7383 0.5699
0.9301 0.3530 0.2617
0.1684 0.0770 0.9301
0.3530 0.9301 0.7617
0.0699 0.6470 0.7383
0.5699 0.2383 0.1470
0.6684 0.4301 0.5770
0.4301 0.6684 0.0770
0.4301 0.7617 0.8530
0.9087 0.0770 0.6470
0.9301 0.5770 0.1684
0.6684 0.2383 0.5913
0.7617 0.3316 0.9087
0.7383 0.1470 0.0699
0.9230 0.8316 0.5699
0.0913 0.1684 0.2383
0.8530 0.5913 0.9230
0.5913 0.7383 0.6684
0.0913 0.9230 0.3530
0.8316 0.9087 0.2617
0.5770 0.6470 0.4087
0.7617 0.4301 0.3530
0.0770 0.1684 0.4301
0.8530 0.2617 0.4301
0.6470 0.5770 0.9087
0.7383 0.5913 0.1684
0.9230 0.0913 0.8530
0.4087 0.2617 0.3316
0.3316 0.5699 0.4230
0.2383 0.5699 0.6470
0.2500 0.1250 0.3750
0.6250 0.3750 0.7500
0.8750 0.7500 0.1250
0.2500 0.6250 0.8750
0.8750 0.1250 0.2500
0.7500 0.8750 0.6250
0.3750 0.7500 0.6250
0.7500 0.3750 0.1250
0.1250 0.2500 0.8750
0.1250 0.8750 0.7500
0.3750 0.6250 0.2500
0.6250 0.2500 0.3750



[2]
Pu8Bi6Pb | Alexandria | PBE | optimized geometry; calculated total energy = -9.33 eV per atom; E_form = 112 meV/atom
1.0
6.7229 0.0000 0.0000
3.3614 5.8222 0.0000
3.3614 1.9407 10.7778
Bi Pu Pb
6 8 1
Direct
0.8408 0.1178 0.6463
0.8822 0.6049 0.3537
0.3951 0.8408 0.6463
0.1178 0.3951 0.6463
0.6049 0.1592 0.3537
0.1592 0.8822 0.3537
0.6667 0.6667 0.0000
0.6410 0.4470 0.8682
0.0439 0.6410 0.8682
0.3590 0.5530 0.1318
0.5530 0.9561 0.1318
0.3333 0.3333 0.0000
0.4470 0.0439 0.8682
0.9561 0.3590 0.1318
0.0000 0.0000 0.0000



[3]
PuBiPb2 | Alexandria | PBE | optimized geometry; calculated total energy = -6.42 eV per atom; E_form = -8 meV/atom
1.0
4.2417 0.0000 0.0000
0.0000 4.2417 0.0000
0.0000 0.0000 6.6765
Pb Pu Bi
2 1 1
Direct
0.0000 0.0000 0.2482
0.0000 0.0000 0.7518
0.5000 0.5000 0.5000
0.5000 0.5000 0.0000



[4]
Pu2BiPb | Alexandria | PBE | optimized geometry; calculated total energy = -9.13 eV per atom; E_form = -62 meV/atom
1.0
-0.7407 0.0985 3.4536
1.3690 -2.4291 2.1705
8.8496 5.5863 3.5465
Pu Bi Pb
2 1 1
Direct
0.2500 0.2500 0.2501
0.7500 0.7500 0.7499
0.5000 0.5000 0.5000
0.0000 0.0000 0.0000



[5]
PuBi3Pb2 | Alexandria | PBE | optimized geometry; calculated total energy = -5.65 eV per atom; E_form = -84 meV/atom
1.0
3.4489 0.0000 0.0000
0.0000 5.6305 -1.9038
0.0000 0.1244 9.6460
Pb Bi Pu
2 3 1
Direct
0.0000 0.6677 0.3353
0.0000 0.3323 0.6647
0.5000 0.5000 0.0000
0.5000 0.8410 0.6820
0.5000 0.1590 0.3180
0.0000 0.0000 0.0000



[6]
PuBiPb | Alexandria | PBE | optimized geometry; calculated total energy = -7.53 eV per atom; E_form = -227 meV/atom
1.0
4.5754 0.0000 0.0000
0.0000 4.6276 0.0000
0.0000 -2.3138 8.3110
Bi Pb Pu
2 2 2
Direct
0.7500 0.5748 0.1497
0.2500 0.4252 0.8503
0.7500 0.2535 0.5071
0.2500 0.7465 0.4929
0.7500 0.9115 0.8229
0.2500 0.0885 0.1771



[7]
PuScBiPb | Alexandria | PBE | optimized geometry; calculated total energy = -7.31 eV per atom; E_form = -246 meV/atom
1.0
-1.5736 5.1095 0.2258
-4.3881 1.5669 -2.6312
-4.4183 1.3214 2.7142
Pu Sc Pb Bi
1 1 1 1
Direct
0.5000 0.5000 0.5000
0.0000 0.0000 0.0000
0.7500 0.7500 0.7500
0.2500 0.2500 0.2500



[8]
PuSnBiPb | Alexandria | PBE | optimized geometry; calculated total energy = -6.72 eV per atom; E_form = -234 meV/atom
1.0
-1.1879 4.6383 0.0563
-4.4380 -1.1217 -1.2296
-1.2345 -0.3743 4.7972
Sn Bi Pb Pu
1 1 1 1
Direct
0.0000 0.0000 0.0000
0.5000 0.0000 0.5000
0.5000 0.5000 0.0000
0.0000 0.5000 0.5000



| no. | magnetic moment (μB/f.u.) |
| --- | --- |
| 1 | 15.31 |
| 2 | 20.23 |
| 3 | 6.14 |
| 4 | 12.28 |
| 5 | 5.60 |
| 6 | 5.68 |
| 7 | 6.11 |
| 8 | 5.52 |